1.
Here is a relaxed structure of Ho2TmLu3Te2Os from the Open Quantum Materials Database. Energies are from PBE. Values from VASP.

final energy: -0.2095 Ha/atom
SG: Amm2 (38)

Quantum ESPRESSO input file:
```
&SYSTEM
  ibrav = 0, nat = 9, ntyp = 5
/
ATOMIC_SPECIES
Ho 164.93 Ho.upf
Tm 168.93 Tm.upf
Lu 174.97 Lu.upf
Te 127.60 Te.upf
Os 190.23 Os.upf
CELL_PARAMETERS angstrom
4.032 0.000 0.000
0.000 7.092 4.068
0.000 -7.092 4.068
ATOMIC_POSITIONS angstrom
Ho 0.000 -4.340 4.068
Ho 0.000 4.340 4.068
Tm 0.000 0.000 3.420
Lu 2.016 0.000 0.354
Lu 2.016 -1.680 5.590
Lu 2.016 1.680 5.590
Te 2.016 -2.362 2.493
Te 2.016 2.362 2.493
Os 0.000 0.000 6.538
```

2.
Here is a relaxed structure of HoLu2P3 from the Open Quantum Materials Database. Energies are from PBE. Values from VASP.

final energy: -0.2414 Ha/atom
SG: P-3m1 (164)

Quantum ESPRESSO input file:
```
&SYSTEM
  ibrav = 0, nat = 6, ntyp = 3
/
ATOMIC_SPECIES
Ho 164.93 Ho.upf
Lu 174.97 Lu.upf
P 30.97 P.upf
CELL_PARAMETERS angstrom
3.939 0.000 0.000
-1.970 3.412 0.000
0.000 0.000 9.639
ATOMIC_POSITIONS angstrom
Ho 0.000 0.000 0.000
Lu 0.000 2.274 3.229
Lu 1.970 1.137 6.410
P 0.000 0.000 4.820
P 0.000 2.274 7.996
P 1.970 1.137 1.644
```

3.
Here is a relaxed structure of HoLuPa from the Open Quantum Materials Database. Energies are from PBE. Values from VASP.

final energy: -0.1887 Ha/atom
distance to the lowest polymorph of the same formula: 0 kJ/mol of formula units
energy relative to the elements: 1065 meV/atom
SG: F-43m (216)

Quantum ESPRESSO input file:
```
&SYSTEM
  ibrav = 0, nat = 12, ntyp = 3
/
ATOMIC_SPECIES
Ho 164.93 Ho.upf
Lu 174.97 Lu.upf
Pa 231.04 Pa.upf
CELL_PARAMETERS angstrom
7.386 0.000 0.000
0.000 7.386 0.000
0.000 0.000 7.386
ATOMIC_POSITIONS angstrom
Ho 0.000 0.000 0.000
Ho 0.000 3.693 3.693
Ho 3.693 0.000 3.693
Ho 3.693 3.693 0.000
Lu 1.846 1.846 1.846
Lu 1.846 5.539 5.539
Lu 5.539 1.846 5.539
Lu 5.539 5.539 1.846
Pa 0.000 0.000 3.693
Pa 0.000 3.693 0.000
Pa 3.693 0.000 0.000
Pa 3.693 3.693 3.693
```

4.
Here is a relaxed structure of HoLuPb from the Open Quantum Materials Database. Energies are from PBE. Values from VASP.

final energy: -0.1615 Ha/atom
distance to the lowest polymorph of the same formula: 0 kJ/mol of formula units
SG: F-43m (216)

Quantum ESPRESSO input file:
```
&SYSTEM
  ibrav = 0, nat = 12, ntyp = 3
/
ATOMIC_SPECIES
Ho 164.93 Ho.upf
Lu 174.97 Lu.upf
Pb 207.20 Pb.upf
CELL_PARAMETERS angstrom
7.215 0.000 0.000
0.000 7.215 0.000
0.000 0.000 7.215
ATOMIC_POSITIONS angstrom
Ho 0.000 0.000 0.000
Ho 0.000 3.608 3.608
Ho 3.608 0.000 3.608
Ho 3.608 3.608 0.000
Lu 0.000 0.000 3.608
Lu 0.000 3.608 0.000
Lu 3.608 0.000 0.000
Lu 3.608 3.608 3.608
Pb 1.804 1.804 1.804
Pb 1.804 5.411 5.411
Pb 5.411 1.804 5.411
Pb 5.411 5.411 1.804
```

5.
Here is a relaxed structure of PmHoLu from the Open Quantum Materials Database. Energies are from PBE. Values from VASP.

final energy: -0.1437 Ha/atom
distance to the lowest polymorph of the same formula: 0 kJ/mol of formula units
energy relative to the elements: 706 meV/atom
SG: F-43m (216)

Quantum ESPRESSO input file:
```
&SYSTEM
  ibrav = 0, nat = 12, ntyp = 3
/
ATOMIC_SPECIES
Pm 145.00 Pm.upf
Ho 164.93 Ho.upf
Lu 174.97 Lu.upf
CELL_PARAMETERS angstrom
7.635 0.000 0.000
0.000 7.635 0.000
0.000 0.000 7.635
ATOMIC_POSITIONS angstrom
Pm 0.000 0.000 0.000
Pm 0.000 3.817 3.817
Pm 3.817 0.000 3.817
Pm 3.817 3.817 0.000
Ho 0.000 0.000 3.817
Ho 0.000 3.817 0.000
Ho 3.817 0.000 0.000
Ho 3.817 3.817 3.817
Lu 1.909 1.909 5.726
Lu 1.909 5.726 1.909
Lu 5.726 1.909 1.909
Lu 5.726 5.726 5.726
```

6.
Here is a relaxed structure of HoLuPt2 from the Open Quantum Materials Database. Energies are from PBE. Values from VASP.

final energy: -0.2434 Ha/atom
distance to the lowest polymorph of the same formula: 1 kJ/mol of formula units
energy relative to the elements: -1319 meV/atom
SG: Pmc2_1 (26)

Quantum ESPRESSO input file:
```
&SYSTEM
  ibrav = 0, nat = 8, ntyp = 3
/
ATOMIC_SPECIES
Ho 164.93 Ho.upf
Lu 174.97 Lu.upf
Pt 195.08 Pt.upf
CELL_PARAMETERS angstrom
4.459 0.000 0.000
0.000 5.525 0.000
0.000 0.000 6.917
ATOMIC_POSITIONS angstrom
Ho 0.000 0.605 0.000
Ho 0.000 4.919 3.458
Lu 2.230 2.160 4.407
Lu 2.230 3.365 0.948
Pt 0.000 2.253 2.517
Pt 0.000 3.272 5.975
Pt 2.230 0.523 1.899
Pt 2.230 5.002 5.357
```

7.
Here is a relaxed structure of HoLuPt2 from the Open Quantum Materials Database. Energies are from PBE. Values from VASP.

final energy: -0.2434 Ha/atom
distance to the lowest polymorph of the same formula: 1 kJ/mol of formula units
energy relative to the elements: -1320 meV/atom
SG: P2_1/m (11)

Quantum ESPRESSO input file:
```
&SYSTEM
  ibrav = 0, nat = 8, ntyp = 3
/
ATOMIC_SPECIES
Ho 164.93 Ho.upf
Lu 174.97 Lu.upf
Pt 195.08 Pt.upf
CELL_PARAMETERS angstrom
5.518 0.000 0.000
0.000 4.463 0.000
-0.071 0.000 6.913
ATOMIC_POSITIONS angstrom
Ho 0.772 1.116 1.261
Ho 4.675 3.347 5.652
Lu 1.935 1.116 4.704
Lu 3.512 3.347 2.209
Pt 0.850 3.347 3.170
Pt 1.840 3.347 6.590
Pt 3.607 1.116 0.324
Pt 4.597 1.116 3.743
```

8.
Here is a relaxed structure of HoLu3Pt4 from the Open Quantum Materials Database. Energies are from PBE. Values from VASP.

final energy: -0.2435 Ha/atom
energy relative to the elements: -1331 meV/atom
SG: Pm (6)

Quantum ESPRESSO input file:
```
&SYSTEM
  ibrav = 0, nat = 8, ntyp = 3
/
ATOMIC_SPECIES
Ho 164.93 Ho.upf
Lu 174.97 Lu.upf
Pt 195.08 Pt.upf
CELL_PARAMETERS angstrom
5.509 0.000 0.000
0.000 4.442 0.000
-0.037 0.000 6.885
ATOMIC_POSITIONS angstrom
Ho 0.000 0.000 0.000
Lu 1.185 0.000 3.441
Lu 2.747 2.221 0.951
Lu 3.930 2.221 4.383
Pt 0.080 2.221 1.914
Pt 1.094 2.221 5.304
Pt 2.806 0.000 5.934
Pt 3.843 0.000 2.516
```

9.
Here is a relaxed structure of Ho3LuPt4 from the Open Quantum Materials Database. Energies are from PBE. Values from VASP.

final energy: -0.2433 Ha/atom
energy relative to the elements: -1311 meV/atom
SG: Pm (6)

Quantum ESPRESSO input file:
```
&SYSTEM
  ibrav = 0, nat = 8, ntyp = 3
/
ATOMIC_SPECIES
Ho 164.93 Ho.upf
Lu 174.97 Lu.upf
Pt 195.08 Pt.upf
CELL_PARAMETERS angstrom
5.521 0.000 0.000
0.000 4.476 0.000
-0.029 0.000 6.968
ATOMIC_POSITIONS angstrom
Ho 0.000 0.000 0.000
Ho 1.184 0.000 3.478
Ho 3.936 2.238 4.432
Lu 2.753 2.238 0.953
Pt 0.076 2.238 1.899
Pt 1.103 2.238 5.409
Pt 2.811 0.000 6.041
Pt 3.852 0.000 2.491
```

10.
Here is a relaxed structure of HoLuPt2 from the Open Quantum Materials Database. Energies are from PBE. Values from VASP.

final energy: -0.2435 Ha/atom
distance to the lowest polymorph of the same formula: 0 kJ/mol of formula units
energy relative to the elements: -1322 meV/atom
SG: Pmn2_1 (31)

Quantum ESPRESSO input file:
```
&SYSTEM
  ibrav = 0, nat = 8, ntyp = 3
/
ATOMIC_SPECIES
Ho 164.93 Ho.upf
Lu 174.97 Lu.upf
Pt 195.08 Pt.upf
CELL_PARAMETERS angstrom
4.462 0.000 0.000
0.000 6.912 0.000
0.000 0.000 5.521
ATOMIC_POSITIONS angstrom
Ho 0.000 0.479 0.000
Ho 2.231 6.434 2.761
Lu 0.000 3.927 1.203
Lu 2.231 2.985 3.964
Pt 0.000 1.465 2.849
Pt 0.000 4.831 3.875
Pt 2.231 2.081 1.115
Pt 2.231 5.447 0.088
```

11.
Here is a relaxed structure of HoLuPt from the Open Quantum Materials Database. Energies are from PBE. Values from VASP.

final energy: -0.1900 Ha/atom
energy relative to the elements: -118 meV/atom
SG: F-43m (216)

Quantum ESPRESSO input file:
```
&SYSTEM
  ibrav = 0, nat = 12, ntyp = 3
/
ATOMIC_SPECIES
Ho 164.93 Ho.upf
Lu 174.97 Lu.upf
Pt 195.08 Pt.upf
CELL_PARAMETERS angstrom
6.639 0.000 0.000
0.000 6.639 0.000
0.000 0.000 6.639
ATOMIC_POSITIONS angstrom
Ho 0.000 0.000 0.000
Ho 0.000 3.320 3.320
Ho 3.320 0.000 3.320
Ho 3.320 3.320 0.000
Lu 1.660 1.660 1.660
Lu 1.660 4.979 4.979
Lu 4.979 1.660 4.979
Lu 4.979 4.979 1.660
Pt 0.000 0.000 3.320
Pt 0.000 3.320 0.000
Pt 3.320 0.000 0.000
Pt 3.320 3.320 3.320
```

12.
Here is a relaxed structure of Ho3Lu3Te2Pt from the Open Quantum Materials Database. Energies are from PBE. Values from VASP.

final energy: -0.1953 Ha/atom
distance to the lowest polymorph of the same formula: 0 kJ/mol of formula units
SG: P-62m (189)

Quantum ESPRESSO input file:
```
&SYSTEM
  ibrav = 0, nat = 9, ntyp = 4
/
ATOMIC_SPECIES
Ho 164.93 Ho.upf
Lu 174.97 Lu.upf
Te 127.60 Te.upf
Pt 195.08 Pt.upf
CELL_PARAMETERS angstrom
8.275 0.000 0.000
-4.137 7.166 0.000
0.000 0.000 3.942
ATOMIC_POSITIONS angstrom
Ho -2.488 4.309 0.000
Ho 1.650 2.857 0.000
Ho 4.976 0.000 0.000
Lu -1.003 1.737 1.971
Lu 2.006 0.000 1.971
Lu 3.135 5.429 1.971
Te 0.000 4.778 1.971
Te 4.137 2.389 1.971
Pt 0.000 0.000 0.000
```

13.
Here is a relaxed structure of Ho3Lu3Te2Pt from the Open Quantum Materials Database. Energies are from PBE. Values from VASP.

final energy: -0.1931 Ha/atom
distance to the lowest polymorph of the same formula: 53 kJ/mol of formula units
SG: P-62m (189)

Quantum ESPRESSO input file:
```
&SYSTEM
  ibrav = 0, nat = 9, ntyp = 4
/
ATOMIC_SPECIES
Ho 164.93 Ho.upf
Lu 174.97 Lu.upf
Te 127.60 Te.upf
Pt 195.08 Pt.upf
CELL_PARAMETERS angstrom
8.350 0.000 0.000
-4.175 7.232 0.000
0.000 0.000 3.886
ATOMIC_POSITIONS angstrom
Ho -1.036 1.795 0.000
Ho 2.072 0.000 0.000
Ho 3.139 5.437 0.000
Lu -2.518 4.361 1.943
Lu 1.657 2.870 1.943
Lu 5.036 0.000 1.943
Te 0.000 4.821 0.000
Te 4.175 2.411 0.000
Pt 0.000 0.000 1.943
```

14.
Here is a relaxed structure of RbHoLu from the Open Quantum Materials Database. Energies are from PBE. Values from VASP.

final energy: -0.0773 Ha/atom
SG: F-43m (216)

Quantum ESPRESSO input file:
```
&SYSTEM
  ibrav = 0, nat = 12, ntyp = 3
/
ATOMIC_SPECIES
Rb 85.47 Rb.upf
Ho 164.93 Ho.upf
Lu 174.97 Lu.upf
CELL_PARAMETERS angstrom
8.346 0.000 0.000
0.000 8.346 0.000
0.000 0.000 8.346
ATOMIC_POSITIONS angstrom
Rb 0.000 0.000 0.000
Rb 0.000 4.173 4.173
Rb 4.173 0.000 4.173
Rb 4.173 4.173 0.000
Ho 0.000 0.000 4.173
Ho 0.000 4.173 0.000
Ho 4.173 0.000 0.000
Ho 4.173 4.173 4.173
Lu 2.086 2.086 6.259
Lu 2.086 6.259 2.086
Lu 6.259 2.086 2.086
Lu 6.259 6.259 6.259
```

15.
Here is a relaxed structure of HoLuRe from the Open Quantum Materials Database. Energies are from PBE. Values from VASP.

final energy: -0.2237 Ha/atom
energy relative to the elements: 1086 meV/atom
SG: F-43m (216)

Quantum ESPRESSO input file:
```
&SYSTEM
  ibrav = 0, nat = 12, ntyp = 3
/
ATOMIC_SPECIES
Ho 164.93 Ho.upf
Lu 174.97 Lu.upf
Re 186.21 Re.upf
CELL_PARAMETERS angstrom
6.680 0.000 0.000
0.000 6.680 0.000
0.000 0.000 6.680
ATOMIC_POSITIONS angstrom
Ho 0.000 0.000 0.000
Ho 0.000 3.340 3.340
Ho 3.340 0.000 3.340
Ho 3.340 3.340 0.000
Lu 1.670 1.670 1.670
Lu 1.670 5.010 5.010
Lu 5.010 1.670 5.010
Lu 5.010 5.010 1.670
Re 0.000 0.000 3.340
Re 0.000 3.340 0.000
Re 3.340 0.000 0.000
Re 3.340 3.340 3.340
```

16.
Here is a relaxed structure of HoLuReSi2 from the Open Quantum Materials Database. Energies are from PBE. Values from VASP.

final energy: -0.2630 Ha/atom
SG: C2/m (12)

Quantum ESPRESSO input file:
```
&SYSTEM
  ibrav = 0, nat = 10, ntyp = 4
/
ATOMIC_SPECIES
Ho 164.93 Ho.upf
Lu 174.97 Lu.upf
Re 186.21 Re.upf
Si 28.09 Si.upf
CELL_PARAMETERS angstrom
5.362 -2.073 0.000
5.362 2.073 0.000
-4.670 0.000 8.742
ATOMIC_POSITIONS angstrom
Ho 1.488 0.000 0.979
Ho 4.566 0.000 7.763
Lu -3.079 0.000 5.927
Lu 9.133 0.000 2.814
Re -0.030 0.000 5.507
Re 6.084 0.000 3.235
Si 1.841 0.000 3.870
Si 4.748 0.000 1.079
Si 1.305 0.000 7.662
Si 4.213 0.000 4.872
```

17.
Here is a relaxed structure of Ho2LuS3 from the Open Quantum Materials Database. Energies are from PBE. Values from VASP.

final energy: -0.2310 Ha/atom
SG: P-3m1 (164)

Quantum ESPRESSO input file:
```
&SYSTEM
  ibrav = 0, nat = 6, ntyp = 3
/
ATOMIC_SPECIES
Ho 164.93 Ho.upf
Lu 174.97 Lu.upf
S 32.06 S.upf
CELL_PARAMETERS angstrom
3.850 0.000 0.000
-1.925 3.334 0.000
0.000 0.000 9.453
ATOMIC_POSITIONS angstrom
Ho 0.000 2.223 1.584
Ho 1.925 1.111 7.868
Lu 0.000 0.000 4.726
S 0.000 0.000 0.000
S 0.000 2.223 6.244
S 1.925 1.111 3.209
```

18.
Here is a relaxed structure of HoLu2S3 from the Open Quantum Materials Database. Energies are from PBE. Values from VASP.

final energy: -0.2294 Ha/atom
SG: P-3m1 (164)

Quantum ESPRESSO input file:
```
&SYSTEM
  ibrav = 0, nat = 6, ntyp = 3
/
ATOMIC_SPECIES
Ho 164.93 Ho.upf
Lu 174.97 Lu.upf
S 32.06 S.upf
CELL_PARAMETERS angstrom
3.823 0.000 0.000
-1.911 3.311 0.000
0.000 0.000 9.395
ATOMIC_POSITIONS angstrom
Ho 0.000 0.000 0.000
Lu 0.000 2.207 6.265
Lu 1.911 1.104 3.130
S 0.000 0.000 4.698
S 0.000 2.207 1.620
S 1.911 1.104 7.775
```

19.
Here is a relaxed structure of Ho6Lu2S from the Open Quantum Materials Database. Energies are from PBE. Values from VASP.

final energy: -0.1796 Ha/atom
SG: P-62m (189)

Quantum ESPRESSO input file:
```
&SYSTEM
  ibrav = 0, nat = 9, ntyp = 3
/
ATOMIC_SPECIES
Ho 164.93 Ho.upf
Lu 174.97 Lu.upf
S 32.06 S.upf
CELL_PARAMETERS angstrom
8.951 0.000 0.000
-4.475 7.752 0.000
0.000 0.000 3.684
ATOMIC_POSITIONS angstrom
Ho -1.102 1.909 0.000
Ho -2.696 4.670 1.842
Ho 2.204 0.000 0.000
Ho 1.779 3.081 1.842
Ho 5.393 0.000 1.842
Ho 3.373 5.843 0.000
Lu 0.000 5.168 0.000
Lu 4.475 2.584 0.000
S 0.000 0.000 1.842
```

20.
Here is a relaxed structure of HoLuSc from the Open Quantum Materials Database. Energies are from PBE. Values from VASP.

final energy: -0.1634 Ha/atom
distance to the lowest polymorph of the same formula: 0 kJ/mol of formula units
energy relative to the elements: 697 meV/atom
SG: F-43m (216)

Quantum ESPRESSO input file:
```
&SYSTEM
  ibrav = 0, nat = 12, ntyp = 3
/
ATOMIC_SPECIES
Ho 164.93 Ho.upf
Lu 174.97 Lu.upf
Sc 44.96 Sc.upf
CELL_PARAMETERS angstrom
7.333 0.000 0.000
0.000 7.333 0.000
0.000 0.000 7.333
ATOMIC_POSITIONS angstrom
Ho 0.000 0.000 0.000
Ho 0.000 3.667 3.667
Ho 3.667 0.000 3.667
Ho 3.667 3.667 0.000
Lu 0.000 0.000 3.667
Lu 0.000 3.667 0.000
Lu 3.667 0.000 0.000
Lu 3.667 3.667 3.667
Sc 1.833 1.833 1.833
Sc 1.833 5.500 5.500
Sc 5.500 1.833 5.500
Sc 5.500 5.500 1.833
```